DFT (PBE) results for an optimized crystal structure of CeErGa2Pd5. Values from VASP.

Summary:
The total DFT energy (no corrections) comes out at -49.4 eV per formula unit. The calculation puts the formation energy at -665 kJ/mol of formula units.

Cell and atoms, written as Quantum ESPRESSO input:
```
&SYSTEM
  ibrav = 0, nat = 9, ntyp = 4
/
ATOMIC_SPECIES
Ce 140.12 Ce.upf
Er 167.26 Er.upf
Ga 69.72 Ga.upf
Pd 106.42 Pd.upf
ATOMIC_POSITIONS angstrom
Ce 0.000 0.000 0.000
Er 0.000 0.000 4.633
Ga 2.107 2.107 3.408
Ga 2.107 2.107 5.857
Pd 0.000 2.107 2.058
Pd 0.000 2.107 7.207
Pd 2.107 0.000 2.058
Pd 2.107 0.000 7.207
Pd 2.107 2.107 0.000
CELL_PARAMETERS angstrom
4.215 0.000 0.000
0.000 4.215 0.000
0.000 0.000 9.265
```


DFT (PBE) results for an optimized crystal structure of Sb2RhBr. Values from VASP.

Summary:
The total DFT energy (no corrections) comes out at -15.8 eV per formula unit. The energy above the most stable polymorph in this dataset is 0.709 eV/atom. The calculation puts the raw formation energy at 36.4 kJ per mole of atoms.

Cell and atoms, written as Quantum ESPRESSO input:
```
&SYSTEM
  ibrav = 0, nat = 4, ntyp = 3
/
ATOMIC_SPECIES
Sb 121.76 Sb.upf
Rh 102.91 Rh.upf
Br 79.90 Br.upf
ATOMIC_POSITIONS angstrom
Sb 0.000 0.000 0.000
Sb 1.643 0.000 2.882
Rh 0.000 2.404 2.882
Br 1.643 2.404 0.000
CELL_PARAMETERS angstrom
3.287 0.000 0.000
0.000 4.808 0.000
0.000 0.000 5.764
```


DFT (PBE) results for an optimized crystal structure of MnCuNi2. Values from VASP.

Summary:
The total DFT energy (no corrections) comes out at -24.6 eV per formula unit. The calculation puts the formation energy at 20 kJ/mol of formula units.

Cell and atoms, written as Quantum ESPRESSO input:
```
&SYSTEM
  ibrav = 0, nat = 4, ntyp = 3
/
ATOMIC_SPECIES
Mn 54.94 Mn.upf
Cu 63.55 Cu.upf
Ni 58.69 Ni.upf
ATOMIC_POSITIONS angstrom
Mn 0.000 0.000 0.000
Cu 4.310 4.310 4.310
Ni 1.437 1.437 1.437
Ni 2.873 2.873 2.873
CELL_PARAMETERS angstrom
0.000 2.873 2.873
2.873 0.000 2.873
2.873 2.873 0.000
```


Among the records above, which one has the lowest total DFT energy (no corrections)? CeErGa2Pd5